{
  "formula": "MnCo2NF",
  "functional": "PBE+U",
  "state": "relaxed",
  "dft_energy_ev_per_atom": -4.17,
  "spacegroup": "No. 123",
  "lattice_angstrom": [[4.009, 0.000, 0.000], [0.000, 3.964, 0.000], [0.000, 0.000, 4.009]],
  "species": ["Co", "Co", "F", "Mn", "N"],
  "frac_coords": [[0.500, 0.000, 0.000], [0.000, 0.000, 0.500], [0.000, 0.000, 0.000], [0.000, 0.500, 0.000], [0.500, 0.500, 0.500]]
}